{"formula": "ZrZn2P2", "functional": "PBE", "state": "optimized geometry", "lattice": [[3.9716, 0.0000, 0.0000], [-1.9858, 3.4395, 0.0000], [0.0000, 0.0000, 6.2691]], "species": ["Zr", "Zn", "Zn", "P", "P"], "fractional_positions": [[0.0000, 0.0000, 0.0000], [0.3333, 0.6667, 0.6494], [0.6667, 0.3333, 0.3506], [0.3333, 0.6667, 0.2496], [0.6667, 0.3333, 0.7504]], "space_group": "P-3m1", "final_energy_ev_per_atom": -4.7883, "m_tot_mub_per_atom": 0.00, "rho_g_cm3": 5.51}